(1)
{
  "formula": "V3Ir5",
  "functional": "PBE",
  "state": "relaxed",
  "e_form_ev_per_fu": -3.8,
  "de_polymorph_mev_per_atom": 0,
  "magnetic_moment_mub_per_cell": 0.01,
  "dft_energy_ev_per_atom": -9.4301,
  "lattice_angstrom": [[3.850, 0.000, 0.000], [0.000, 5.404, 0.041], [0.000, -0.153, 5.402]],
  "species": ["Ir", "Ir", "Ir", "Ir", "V", "V", "V", "Ir"],
  "frac_coords": [[0.000, 0.000, 0.500], [0.500, 0.258, 0.258], [0.500, 0.742, 0.742], [0.000, 0.000, 0.000], [0.500, 0.245, 0.755], [0.000, 0.500, 0.500], [0.500, 0.755, 0.245], [0.000, 0.500, 0.000]]
}


(2)
{
  "formula": "V2Ir",
  "functional": "PBE",
  "state": "relaxed",
  "e_form_ev_per_fu": -1.1,
  "magnetic_moment_mub_per_cell": 0.00,
  "dft_energy_ev_per_atom": -9.4082,
  "lattice_angstrom": [[5.215, 0.000, 0.006], [0.000, 4.222, 0.000], [-5.178, 0.000, 7.445]],
  "species": ["V", "V", "V", "Ir", "V", "Ir", "Ir", "V", "V", "V", "Ir", "V"],
  "frac_coords": [[0.436, 0.000, 0.846], [0.564, 0.500, 0.654], [0.253, 0.500, 0.007], [0.907, 0.000, 0.822], [0.253, 0.000, 0.507], [0.093, 0.500, 0.678], [0.093, 0.000, 0.178], [0.747, 0.000, 0.493], [0.564, 0.000, 0.154], [0.436, 0.500, 0.346], [0.907, 0.500, 0.322], [0.747, 0.500, 0.993]]
}


(3)
{
  "formula": "VIr",
  "functional": "PBE",
  "state": "relaxed",
  "e_form_ev_per_fu": 0.6,
  "magnetic_moment_mub_per_cell": 0.00,
  "dft_energy_ev_per_atom": -8.6977,
  "lattice_angstrom": [[5.023, 0.000, 0.000], [0.000, 5.023, 0.000], [0.000, 0.000, 5.023]],
  "species": ["Ir", "Ir", "V", "V", "Ir", "V", "Ir", "V"],
  "frac_coords": [[0.000, 0.500, 0.000], [0.000, 0.000, 0.500], [0.000, 0.500, 0.500], [0.000, 0.000, 0.000], [0.500, 0.500, 0.500], [0.500, 0.500, 0.000], [0.500, 0.000, 0.000], [0.500, 0.000, 0.500]]
}


(4)
{
  "formula": "VIr2",
  "functional": "PBE",
  "state": "relaxed",
  "e_form_ev_per_fu": -1.3,
  "magnetic_moment_mub_per_cell": 0.00,
  "dft_energy_ev_per_atom": -9.3921,
  "lattice_angstrom": [[-1.092, 2.274, -2.899], [2.583, -3.673, -1.307], [-5.043, -1.892, 0.415]],
  "species": ["V", "Ir", "Ir", "V", "Ir", "Ir"],
  "frac_coords": [[0.158, 0.316, 0.821], [0.500, 0.000, 0.000], [0.829, 0.658, 0.677], [0.842, 0.684, 0.179], [0.171, 0.342, 0.323], [0.500, 0.000, 0.500]]
}


(5)
{
  "formula": "V2IrW6",
  "functional": "PBE",
  "state": "relaxed",
  "e_form_ev_per_fu": 3.6,
  "magnetic_moment_mub_per_cell": 0.00,
  "dft_energy_ev_per_atom": -11.2490,
  "lattice_angstrom": [[-4.473, -0.652, 0.163], [-0.154, -0.272, -5.363], [3.313, -5.390, 6.647]],
  "species": ["W", "Ir", "W", "W", "V", "W", "W", "W", "V"],
  "frac_coords": [[0.292, 0.936, 0.585], [0.000, 0.000, 0.000], [0.708, 0.064, 0.415], [0.504, 0.750, 0.007], [0.098, 0.678, 0.197], [0.304, 0.471, 0.607], [0.696, 0.529, 0.393], [0.496, 0.250, 0.993], [0.902, 0.322, 0.803]]
}


(6)
{
  "formula": "VIrW2",
  "functional": "PBE",
  "state": "relaxed",
  "e_form_ev_per_fu": 0.3,
  "de_polymorph_mev_per_atom": 102,
  "magnetic_moment_mub_per_cell": 0.00,
  "dft_energy_ev_per_atom": -10.9047,
  "lattice_angstrom": [[-2.331, 0.676, 3.680], [-3.498, -2.531, 0.889], [0.178, -2.928, 3.290]],
  "species": ["W", "W", "V", "Ir"],
  "frac_coords": [[0.750, 0.750, 0.750], [0.250, 0.250, 0.250], [0.000, 0.000, 0.000], [0.500, 0.500, 0.500]]
}


Copy entry 4 word for word.
{
  "formula": "VIr2",
  "functional": "PBE",
  "state": "relaxed",
  "e_form_ev_per_fu": -1.3,
  "magnetic_moment_mub_per_cell": 0.00,
  "dft_energy_ev_per_atom": -9.3921,
  "lattice_angstrom": [[-1.092, 2.274, -2.899], [2.583, -3.673, -1.307], [-5.043, -1.892, 0.415]],
  "species": ["V", "Ir", "Ir", "V", "Ir", "Ir"],
  "frac_coords": [[0.158, 0.316, 0.821], [0.500, 0.000, 0.000], [0.829, 0.658, 0.677], [0.842, 0.684, 0.179], [0.171, 0.342, 0.323], [0.500, 0.000, 0.500]]
}